Entry 1:
The following is a PBE calculation of PrSm3N4 after structural relaxation, from Alexandria.

a = 7.231 Å, b = 10.217 Å, c = 3.615 Å
α = 90.00°, β = 90.00°, γ = 90.00°
Positions (direct):
1 Pr 0.000 0.000 0.000
2 Pr 0.500 0.500 0.000
3 Sm 0.000 0.500 0.000
4 Sm 0.250 0.250 0.500
5 Sm 0.250 0.750 0.500
6 Sm 0.500 0.000 0.000
7 Sm 0.750 0.250 0.500
8 Sm 0.750 0.750 0.500
9 N 0.000 0.252 0.000
10 N 0.000 0.748 0.000
11 N 0.246 0.500 0.500
12 N 0.254 0.000 0.500
13 N 0.500 0.248 0.000
14 N 0.500 0.752 0.000
15 N 0.746 0.000 0.500
16 N 0.754 0.500 0.500

The density of states at the Fermi level is 0.5 states/eV/f.u. The value obtained for the offset from the most stable computed form is 0.0000 eV per atom. As for the formation energy (no corrections): -1.43 eV per atom.

=====

Entry 2:
The following is a PBE calculation of ZnCu after structural relaxation, from Alexandria.

a = 2.676 Å, b = 2.676 Å, c = 12.679 Å
α = 90.00°, β = 90.00°, γ = 120.00°
Positions (direct):
1 Zn 0.000 0.000 0.000
2 Zn 0.333 0.667 0.667
3 Zn 0.667 0.333 0.333
4 Cu 0.000 0.000 0.500
5 Cu 0.333 0.667 0.167
6 Cu 0.667 0.333 0.833

The density of states at the Fermi level is 0.8 states/eV/f.u. Its energy relative to the elements is -0.08 eV/f.u.